Here is a geometry-optimized KBeIr2 structure from Alexandria via LeMat-Bulk. Energies are from PBE-GGA.

Cell lengths 8.660, 8.660, 8.660 Å; angles 147.84, 147.84, 46.12 degrees
Atoms (fractional coordinates):
K  0.000  0.000  0.000
K  0.750  0.250  0.500
Be  0.250  0.750  0.500
Be  0.500  0.500  0.000
Ir  0.345  0.625  0.220
Ir  0.375  0.595  0.720
Ir  0.405  0.125  0.780
Ir  0.875  0.655  0.280

Summary:
For the magnetization, the calculation gives 0.0 Bohr magnetons per cell. The value obtained for the energy of formation is 620 meV/atom.



Here is a geometry-optimized GaOsO3 structure from Alexandria via LeMat-Bulk. Energies are from PBE-GGA.

Cell lengths 3.891, 3.891, 3.891 Å; angles 90.00, 90.00, 90.00 degrees
Atoms (fractional coordinates):
Ga  0.000  0.000  0.000
Os  0.500  0.500  0.500
O  0.000  0.500  0.500
O  0.500  0.000  0.500
O  0.500  0.500  0.000

Summary:
For the magnetization, the calculation gives 0.0 Bohr magnetons per cell.



Here is a geometry-optimized NpUP2Rh2 structure from Alexandria via LeMat-Bulk. Energies are from PBE-GGA.

Cell lengths 4.084, 4.084, 7.531 Å; angles 90.00, 90.00, 120.00 degrees
Atoms (fractional coordinates):
Np  0.000  0.000  0.000
U  0.000  0.000  0.500
P  0.333  0.667  0.227
P  0.667  0.333  0.773
Rh  0.333  0.667  0.719
Rh  0.667  0.333  0.281

Summary:
For the magnetization, the calculation gives 5.1 Bohr magnetons per cell. The value obtained for the energy of formation is -858 meV/atom.



Number 1: E_tot -40.13 eV per cell. Number 2: E_tot -32.66 eV per cell. Number 3: E_tot -54.90 eV per cell.